DFT (PBE) results for an optimized crystal structure of Tb3Sm5Er.

The structure in POSCAR format:
```
Tb3Sm5Er
1.0
7.6092 -5.8139 0.0000
7.6092 5.8139 0.0000
-6.2984 0.0000 7.5858
Tb Sm Er
6 10 2
Direct
0.0000 0.0000 0.0000
0.0078 0.0078 0.3217
0.4844 0.4844 0.1465
0.5000 0.5000 0.5000
0.5156 0.5156 0.8535
0.9922 0.9922 0.6783
0.0989 0.6039 0.7593
0.2271 0.2271 0.7347
0.2460 0.7540 0.5000
0.2752 0.2752 0.4544
0.3961 0.9011 0.2407
0.6039 0.0989 0.7593
0.7248 0.7248 0.5456
0.7540 0.2460 0.5000
0.7729 0.7729 0.2653
0.9011 0.3961 0.2407
0.2490 0.2490 0.0947
0.7510 0.7510 0.9053
```

* SG: C2/m (12)
* uncorrected energy: -0.1534 Ha/atom
* ΔE to the lowest computed polymorph: 328 meV per atom

DFT (PBE) results for an optimized crystal structure of Tb11Sm4Er9.

The structure in POSCAR format:
```
Tb11Sm4Er9
1.0
8.3316 -12.5429 0.0000
8.3316 12.5429 0.0000
0.0000 0.0000 3.6668
Tb Sm Er
11 4 9
Direct
0.0000 0.0000 0.0000
0.0448 0.4070 0.0000
0.1593 0.8407 0.0000
0.2901 0.2901 0.0000
0.3659 0.6341 0.0000
0.4070 0.0448 0.0000
0.5930 0.9552 0.0000
0.6341 0.3659 0.0000
0.7099 0.7099 0.0000
0.8407 0.1593 0.0000
0.9552 0.5930 0.0000
0.2446 0.4460 0.5000
0.4460 0.2446 0.5000
0.5540 0.7554 0.5000
0.7554 0.5540 0.5000
0.0669 0.2123 0.5000
0.1631 0.6337 0.5000
0.2123 0.0669 0.5000
0.3663 0.8369 0.5000
0.5000 0.5000 0.5000
0.6337 0.1631 0.5000
0.7877 0.9331 0.5000
0.8369 0.3663 0.5000
0.9331 0.7877 0.5000
```

* SG: Cmmm (65)
* uncorrected energy: -0.1677 Ha/atom

DFT (PBE) results for an optimized crystal structure of Tb10SmEr4.

The structure in POSCAR format:
```
Tb10SmEr4
1.0
-4.8442 4.8442 5.2326
4.8442 -4.8442 5.2326
4.8442 4.8442 -5.2326
Tb Sm Er
10 1 4
Direct
0.0454 0.3728 0.1011
0.0556 0.9546 0.3273
0.2500 0.7500 0.5000
0.2717 0.9444 0.8989
0.3728 0.2717 0.3273
0.6272 0.7283 0.6727
0.7283 0.0556 0.1011
0.7500 0.2500 0.5000
0.9444 0.0454 0.6727
0.9546 0.6272 0.8989
0.5000 0.5000 0.0000
0.1644 0.4317 0.5961
0.4317 0.8356 0.2673
0.5683 0.1644 0.7327
0.8356 0.5683 0.4039
```

* SG: I4/m (87)
* uncorrected energy: -0.1572 Ha/atom

DFT (PBE) results for an optimized crystal structure of Tb2Sm2Er3.

The structure in POSCAR format:
```
Tb2Sm2Er3
1.0
-4.8469 4.8469 4.8469
4.8469 -4.8469 4.8469
4.8469 4.8469 -4.8469
Tb Sm Er
4 4 6
Direct
0.0000 0.4172 0.5000
0.0828 0.0828 0.0828
0.4172 0.5000 0.0000
0.5000 0.0000 0.4172
0.0000 0.8128 0.5000
0.5000 0.0000 0.8128
0.6872 0.6872 0.6872
0.8128 0.5000 0.0000
0.1943 0.7500 0.9443
0.2500 0.5557 0.3057
0.3057 0.2500 0.5557
0.5557 0.3057 0.2500
0.7500 0.9443 0.1943
0.9443 0.1943 0.7500
```

* SG: I2_13 (199)
* uncorrected energy: -0.1616 Ha/atom
* ΔE to the lowest computed polymorph: 211 meV per atom

DFT (PBE) results for an optimized crystal structure of Tb7Sm6Er16.

The structure in POSCAR format:
```
Tb7Sm6Er16
1.0
0.0000 7.8526 7.8526
7.8526 0.0000 7.8526
7.8526 7.8526 0.0000
Tb Sm Er
7 6 16
Direct
0.0000 0.0000 0.0000
0.0000 0.0000 0.5000
0.0000 0.5000 0.0000
0.0000 0.5000 0.5000
0.5000 0.0000 0.0000
0.5000 0.0000 0.5000
0.5000 0.5000 0.0000
0.2710 0.2710 0.7290
0.2710 0.7290 0.2710
0.2710 0.7290 0.7290
0.7290 0.2710 0.2710
0.7290 0.2710 0.7290
0.7290 0.7290 0.2710
0.0482 0.6506 0.6506
0.1266 0.1266 0.1266
0.1266 0.1266 0.6203
0.1266 0.6203 0.1266
0.3494 0.3494 0.3494
0.3494 0.3494 0.9518
0.3494 0.9518 0.3494
0.3797 0.8734 0.8734
0.6203 0.1266 0.1266
0.6506 0.0482 0.6506
0.6506 0.6506 0.0482
0.6506 0.6506 0.6506
0.8734 0.3797 0.8734
0.8734 0.8734 0.3797
0.8734 0.8734 0.8734
0.9518 0.3494 0.3494
```

* SG: Fm-3m (225)
* uncorrected energy: -0.1604 Ha/atom

DFT (PBE) results for an optimized crystal structure of Tb5Sm3Er3.

The structure in POSCAR format:
```
Tb5Sm3Er3
1.0
9.6796 0.0000 0.0000
-4.8398 8.3827 0.0000
0.0000 0.0000 5.3801
Tb Sm Er
5 3 3
Direct
0.0000 0.2619 0.0000
0.2619 0.0000 0.0000
0.3333 0.6667 0.0000
0.6667 0.3333 0.0000
0.7381 0.7381 0.0000
0.0000 0.6341 0.0000
0.3659 0.3659 0.0000
0.6341 0.0000 0.0000
0.0000 0.4484 0.5000
0.4484 0.0000 0.5000
0.5516 0.5516 0.5000
```

* SG: P-62m (189)
* uncorrected energy: -0.1404 Ha/atom

DFT (PBE) results for an optimized crystal structure of Tb8Sm2Er.

The structure in POSCAR format:
```
Tb8Sm2Er
1.0
8.2595 -3.3369 0.0000
8.2595 3.3369 0.0000
-1.2100 0.0000 6.5594
Tb Sm Er
8 2 1
Direct
0.0890 0.0890 0.9080
0.1498 0.6748 0.5964
0.2562 0.2562 0.6917
0.3252 0.8502 0.4036
0.6748 0.1498 0.5964
0.7438 0.7438 0.3083
0.8502 0.3252 0.4036
0.9110 0.9110 0.0920
0.3015 0.3015 0.2011
0.6985 0.6985 0.7989
0.5000 0.5000 0.0000
```

* SG: C2/m (12)
* uncorrected energy: -0.1645 Ha/atom
* ΔE to the lowest computed polymorph: 146 meV per atom

DFT (PBE) results for an optimized crystal structure of TbSm2Er2.

The structure in POSCAR format:
```
TbSm2Er2
1.0
4.6310 -6.6601 0.0000
4.6310 6.6601 0.0000
-2.3401 0.0000 5.5456
Tb Sm Er
2 4 4
Direct
0.0638 0.9362 0.7500
0.9362 0.0638 0.2500
0.2404 0.3918 0.1277
0.3918 0.2404 0.6277
0.6082 0.7596 0.3723
0.7596 0.6082 0.8723
0.1965 0.8035 0.2500
0.3309 0.6691 0.7500
0.6691 0.3309 0.2500
0.8035 0.1965 0.7500
```

* SG: C2/c (15)
* uncorrected energy: -0.1601 Ha/atom
* ΔE to the lowest computed polymorph: 277 meV per atom